1.
First-principles (PBE) data for crystalline HgBiCl at its relaxed geometry, as listed in Alexandria via LeMat-Bulk.

Lattice parameters (Å, degrees): 3.355 5.566 6.170 89.34 88.68 73.04
Positions (direct):
Hg  0.000  0.000  0.000
Bi  0.008  0.988  0.500
Cl  0.251  0.490  0.502

Calculated values
- Fermi-level density of states (states/eV per cell) = 0.5
- energy above the lowest structure with this stoichiometry (meV per atom) = 45.9
- size of the total moment (μB/atom) = 0.00
- uncorrected formation energy (kJ/mol of formula units) = -90
- final energy (eV per atom) = -2.322

=====

2.
First-principles (PBE) data for crystalline HgBiCl3 at its relaxed geometry, as listed in Alexandria via LeMat-Bulk.

Lattice parameters (Å, degrees): 8.928 8.928 8.885 94.52 94.52 25.03
Positions (direct):
Hg  0.087  0.087  0.455
Hg  0.913  0.913  0.545
Bi  0.347  0.347  0.283
Bi  0.653  0.653  0.717
Cl  0.142  0.142  0.933
Cl  0.274  0.274  0.681
Cl  0.496  0.496  0.743
Cl  0.504  0.504  0.257
Cl  0.726  0.726  0.319
Cl  0.858  0.858  0.067

Calculated values
- Fermi-level density of states (states/eV per cell) = 0.0
- energy above the lowest structure with this stoichiometry (meV per atom) = 110.0
- size of the total moment (μB/atom) = 0.00
- uncorrected formation energy (kJ/mol of formula units) = -314
- final energy (eV per atom) = -2.596

=====

3.
First-principles (PBE) data for crystalline Hg3BiCl at its relaxed geometry, as listed in Alexandria via LeMat-Bulk.

Lattice parameters (Å, degrees): 5.846 5.846 5.846 90.00 90.00 90.00
Positions (direct):
Hg  0.000  0.000  0.500
Hg  0.000  0.500  0.000
Hg  0.500  0.000  0.000
Bi  0.000  0.000  0.000
Cl  0.500  0.500  0.500

Calculated values
- Fermi-level density of states (states/eV per cell) = 1.0
- energy above the lowest structure with this stoichiometry (meV per atom) = 0.0
- size of the total moment (μB/atom) = 0.00
- uncorrected formation energy (kJ/mol of formula units) = -26
- final energy (eV per atom) = -1.380